No. 1
DFT (GGA-PBE) results for La4PmSn4 after structural relaxation.

The space group is P4_2/n (No. 86, origin choice 2) and the conventional cell measures 9.694, 9.694 and 6.622 Å, with angles of 90.00, 90.00 and 90.00 degrees. The distinct sites, in fractional coordinates, are La at (0.036, 0.668, 0.112), Pm at (0.250, 0.250, 0.250) and Sn at (0.023, 0.642, 0.604).

The value obtained for the energy of formation is -0.536 eV per atom. The value obtained for the density of states at the Fermi level is 15.7 states/eV per cell.

No. 2
DFT (GGA-PBE) results for La5PmSn3 after structural relaxation.

The space group is I4/mcm (No. 140) and the conventional cell measures 8.404, 8.404 and 16.450 Å, with angles of 90.00, 90.00 and 90.00 degrees. The distinct sites, in fractional coordinates, are La at (0.000, 0.000, 0.000), La at (0.193, 0.307, 0.137), Pm at (0.000, 0.500, 0.250), Sn at (0.000, 0.000, 0.250) and Sn at (0.120, 0.380, 0.500).

The excess energy over the best structure of this formula in the dataset is 215 meV per atom. The value obtained for the energy of formation is -0.381 eV per atom. The value obtained for the density of states at the Fermi level is 52.9 states/eV per cell.

No. 3
DFT (GGA-PBE) results for La12PmSn3 after structural relaxation.

The space group is P4/mmm (No. 123) and the conventional cell measures 5.065, 5.065 and 20.540 Å, with angles of 90.00, 90.00 and 90.00 degrees. The distinct sites, in fractional coordinates, are La at (0.000, 0.000, 0.000), La at (0.000, 0.000, 0.243), La at (0.000, 0.000, 0.500), La at (0.000, 0.500, 0.122), La at (0.000, 0.500, 0.367), Pm at (0.500, 0.500, 0.500), Sn at (0.500, 0.500, 0.000) and Sn at (0.500, 0.500, 0.245).

The value obtained for the energy of formation is -0.352 eV per atom. The value obtained for the density of states at the Fermi level is 20.8 states/eV per cell.